Model w:
DyHfTh after structural relaxation. Source: the Alexandria database, functional PBE.

The structure belongs to space group I4mm (No. 107); the cell edges are 3.362, 3.362 and 15.113 Å and the angles 90.00°, 90.00° and 90.00°. The distinct sites, in fractional coordinates, are Dy at (0.000, 0.000, 0.000), Hf at (0.000, 0.000, 0.345) and Th at (0.000, 0.000, 0.686).

The calculation puts the density of states at the Fermi level at 7.527 states/eV per cell. The calculation puts the volume at 170.8 Å³ per cell.

Model x:
DyHfTh after structural relaxation. Source: the Alexandria database, functional PBE.

The structure belongs to space group P3m1 (No. 156); the cell edges are 5.3872, 5.3872 and 3.4161 Å and the angles 90.00°, 90.00° and 120.00°. The distinct sites, in fractional coordinates, are Dy at (0.0000, 0.0000, 0.0000), Hf at (0.3333, 0.6667, 0.0018) and Th at (0.6667, 0.3333, 0.5008).

The calculation puts the density of states at the Fermi level at 3.533 states/eV per cell. The calculation puts the volume at 85.9 Å³ per cell.

Most stable: model w (next structure +38 meV per atom)